Computed, not measured: PrPu2Ge2Pt7 after structural relaxation at the PBE level of DFT.

Lattice parameters (Å, degrees): 4.1181 4.1181 14.2933 83.97 83.97 89.13
Each line ends with the local moment (μB).
Element x y z (fractional)
1 Pr 0.0000 0.0000 0.0000  0.01
2 Pu 0.8894 0.8894 0.3679  5.25
3 Pu 0.1106 0.1106 0.6321  5.25
4 Ge 0.5933 0.5933 0.7430  -0.01
5 Ge 0.4067 0.4067 0.2570  -0.01
6 Pt 0.5000 0.5000 0.0000  0.03
7 Pt 0.3753 0.3753 0.4296  -0.09
8 Pt 0.6247 0.6247 0.5704  -0.09
9 Pt 0.9418 0.4425 0.1592  0.05
10 Pt 0.4425 0.9418 0.1592  0.05
11 Pt 0.5575 0.0582 0.8408  0.05
12 Pt 0.0582 0.5575 0.8408  0.05

Properties
E_form = -747 meV per atom
E_tot = -7.827 eV/atom

***

Computed, not measured: Pr2Ge4PtRh3 after structural relaxation at the PBE level of DFT.

Lattice parameters (Å, degrees): 4.2801 4.2801 10.2633 90.00 90.00 90.00
Element x y z (fractional)
1 Pr 0.5000 0.0000 0.2409
2 Pr 0.0000 0.5000 0.7591
3 Ge 0.5000 0.5000 0.0000
4 Ge 0.0000 0.0000 0.0000
5 Ge 0.5000 0.0000 0.6364
6 Ge 0.0000 0.5000 0.3636
7 Pt 0.5000 0.5000 0.5000
8 Rh 0.0000 0.0000 0.5000
9 Rh 0.5000 0.0000 0.8746
10 Rh 0.0000 0.5000 0.1254

Properties
E_form = -874 meV per atom
E_tot = -6.487 eV/atom

***

Computed, not measured: Pr2Ge3RuPt4 after structural relaxation at the PBE level of DFT.

Lattice parameters (Å, degrees): 4.3293 4.3293 10.3996 90.00 90.00 90.00
Each line ends with the local moment (μB).
Element x y z (fractional)
1 Pr 0.5000 0.0000 0.2507  0.01
2 Pr 0.0000 0.5000 0.7493  0.01
3 Ge 0.0000 0.0000 0.5000  0.00
4 Ge 0.5000 0.0000 0.8699  -0.01
5 Ge 0.0000 0.5000 0.1301  -0.01
6 Ru 0.5000 0.5000 0.5000  0.50
7 Pt 0.5000 0.5000 0.0000  -0.01
8 Pt 0.0000 0.0000 0.0000  -0.01
9 Pt 0.5000 0.0000 0.6339  0.07
10 Pt 0.0000 0.5000 0.3661  0.07

Properties
E_form = -738 meV per atom
E_tot = -6.423 eV/atom